1.
# La3AlOs3 GGA-PBE relaxed
# magnetization: 0.00 μB/f.u.
# symmetry: No. 63
# E_form: -21 kJ/mol of atoms
data_La3AlOs3
_cell_length_a 4.500
_cell_length_b 5.895
_cell_length_c 13.625
_cell_angle_alpha 90.00
_cell_angle_beta 90.00
_cell_angle_gamma 112.44
_space_group_name_H-M_alt 'P 1'
_space_group_IT_number 1
loop_
_space_group_symop_operation_xyz
'x,y,z'
loop_
_atom_site_label
_atom_site_type_symbol
_atom_site_fract_x
_atom_site_fract_y
_atom_site_fract_z
La1 La 0.227 0.454 0.893
La2 La 0.773 0.546 0.107
La3 La 0.227 0.454 0.607
La4 La 0.773 0.546 0.393
La5 La 0.519 0.039 0.750
La6 La 0.481 0.961 0.250
Al1 Al 0.500 0.000 0.000
Al2 Al 0.500 0.000 0.500
Os1 Os 0.936 0.873 0.916
Os2 Os 0.064 0.127 0.084
Os3 Os 0.936 0.873 0.584
Os4 Os 0.064 0.127 0.416
Os5 Os 0.841 0.682 0.750
Os6 Os 0.159 0.318 0.250



2.
# Sc8GeSb2 GGA-PBE relaxed
# formation energy without anion corrections: -0.484 eV per atom
# magnetization: 0.47 μB/f.u.
# symmetry: No. 12
data_Sc8GeSb2
_cell_length_a 4.664
_cell_length_b 6.186
_cell_length_c 9.402
_cell_angle_alpha 104.00
_cell_angle_beta 104.36
_cell_angle_gamma 90.00
_space_group_name_H-M_alt 'P 1'
_space_group_IT_number 1
loop_
_space_group_symop_operation_xyz
'x,y,z'
loop_
_atom_site_label
_atom_site_type_symbol
_atom_site_fract_x
_atom_site_fract_y
_atom_site_fract_z
Sc1 Sc 0.411 0.524 0.823
Sc2 Sc 0.653 0.022 0.305
Sc3 Sc 0.776 0.670 0.551
Sc4 Sc 0.980 0.229 0.960
Sc5 Sc 0.224 0.330 0.449
Sc6 Sc 0.347 0.978 0.695
Sc7 Sc 0.589 0.476 0.177
Sc8 Sc 0.020 0.771 0.040
Ge1 Ge 0.500 0.000 0.000
Sb1 Sb 0.822 0.241 0.644
Sb2 Sb 0.178 0.759 0.356



3.
# Mg2CrGaN4 GGA-PBE relaxed
# formation energy without anion corrections: -0.592 eV per atom
# magnetization: 1.00 μB/f.u.
# symmetry: No. 31
data_Mg2CrGaN4
_cell_length_a 5.219
_cell_length_b 5.739
_cell_length_c 6.444
_cell_angle_alpha 90.00
_cell_angle_beta 90.00
_cell_angle_gamma 90.00
_space_group_name_H-M_alt 'P 1'
_space_group_IT_number 1
loop_
_space_group_symop_operation_xyz
'x,y,z'
loop_
_atom_site_label
_atom_site_type_symbol
_atom_site_fract_x
_atom_site_fract_y
_atom_site_fract_z
Mg1 Mg 0.494 0.329 0.251
Mg2 Mg 0.494 0.329 0.749
Mg3 Mg 0.994 0.671 0.751
Mg4 Mg 0.994 0.671 0.249
Cr1 Cr 0.499 0.833 0.500
Cr2 Cr 0.999 0.167 0.000
Ga1 Ga 0.997 0.154 0.500
Ga2 Ga 0.497 0.846 0.000
N1 N 0.341 0.155 0.000
N2 N 0.841 0.845 0.500
N3 N 0.375 0.124 0.500
N4 N 0.875 0.876 0.000
N5 N 0.400 0.684 0.738
N6 N 0.900 0.316 0.238
N7 N 0.900 0.316 0.762
N8 N 0.400 0.684 0.262



4.
# Ba2CdRhBr GGA-PBE relaxed
# formation energy without anion corrections: -0.696 eV per atom
# magnetization: 0.00 μB/f.u.
# symmetry: No. 123
data_Ba2CdRhBr
_cell_length_a 5.997
_cell_length_b 5.997
_cell_length_c 5.207
_cell_angle_alpha 90.00
_cell_angle_beta 90.00
_cell_angle_gamma 90.00
_space_group_name_H-M_alt 'P 1'
_space_group_IT_number 1
loop_
_space_group_symop_operation_xyz
'x,y,z'
loop_
_atom_site_label
_atom_site_type_symbol
_atom_site_fract_x
_atom_site_fract_y
_atom_site_fract_z
Rh1 Rh 0.000 0.000 0.000
Ba1 Ba 0.000 0.500 0.000
Ba2 Ba 0.500 0.000 0.000
Br1 Br 0.500 0.500 0.500
Cd1 Cd 0.000 0.000 0.500



5.
# Nb3CoOs GGA-PBE relaxed
# magnetization: 0.00 μB/f.u.
# symmetry: No. 221
# E_form: 140 kJ/mol of atoms
data_Nb3CoOs
_cell_length_a 4.811
_cell_length_b 4.811
_cell_length_c 4.811
_cell_angle_alpha 90.00
_cell_angle_beta 90.00
_cell_angle_gamma 90.00
_space_group_name_H-M_alt 'P 1'
_space_group_IT_number 1
loop_
_space_group_symop_operation_xyz
'x,y,z'
loop_
_atom_site_label
_atom_site_type_symbol
_atom_site_fract_x
_atom_site_fract_y
_atom_site_fract_z
Co1 Co 0.500 0.500 0.500
Nb1 Nb 0.000 0.500 0.000
Nb2 Nb 0.000 0.000 0.500
Nb3 Nb 0.500 0.000 0.000
Os1 Os 0.000 0.000 0.000



6.
# CeZnNi2 GGA-PBE relaxed
# magnetization: 0.00 μB/f.u.
# symmetry: No. 123
# E_form: -21 kJ/mol of atoms
data_CeZnNi2
_cell_length_a 3.092
_cell_length_b 3.092
_cell_length_c 6.491
_cell_angle_alpha 90.00
_cell_angle_beta 90.00
_cell_angle_gamma 90.00
_space_group_name_H-M_alt 'P 1'
_space_group_IT_number 1
loop_
_space_group_symop_operation_xyz
'x,y,z'
loop_
_atom_site_label
_atom_site_type_symbol
_atom_site_fract_x
_atom_site_fract_y
_atom_site_fract_z
Ni1 Ni 0.000 0.000 0.801
Ni2 Ni 0.000 0.000 0.199
Zn1 Zn 0.500 0.500 0.000
Ce1 Ce 0.500 0.500 0.500



7.
# CaPmRuAu GGA-PBE relaxed
# magnetization: 0.00 μB/f.u.
# symmetry: No. 216
# E_form: -30 kJ/mol of atoms
data_CaPmRuAu
_cell_length_a 5.024
_cell_length_b 5.024
_cell_length_c 5.024
_cell_angle_alpha 60.00
_cell_angle_beta 60.00
_cell_angle_gamma 60.00
_space_group_name_H-M_alt 'P 1'
_space_group_IT_number 1
loop_
_space_group_symop_operation_xyz
'x,y,z'
loop_
_atom_site_label
_atom_site_type_symbol
_atom_site_fract_x
_atom_site_fract_y
_atom_site_fract_z
Ru1 Ru 0.250 0.250 0.250
Ca1 Ca 0.000 0.000 0.000
Au1 Au 0.750 0.750 0.750
Pm1 Pm 0.500 0.500 0.500



8.
# Pa3Cu2Ge3 GGA-PBE relaxed
# magnetization: 1.52 μB/f.u.
# symmetry: No. 63
# E_form: -34 kJ/mol of atoms
data_Pa3Cu2Ge3
_cell_length_a 4.176
_cell_length_b 5.720
_cell_length_c 14.201
_cell_angle_alpha 90.00
_cell_angle_beta 90.00
_cell_angle_gamma 111.41
_space_group_name_H-M_alt 'P 1'
_space_group_IT_number 1
loop_
_space_group_symop_operation_xyz
'x,y,z'
loop_
_atom_site_label
_atom_site_type_symbol
_atom_site_fract_x
_atom_site_fract_y
_atom_site_fract_z
Pa1 Pa 0.928 0.855 0.388
Pa2 Pa 0.072 0.145 0.888
Pa3 Pa 0.928 0.855 0.112
Pa4 Pa 0.072 0.145 0.612
Pa5 Pa 0.639 0.278 0.250
Pa6 Pa 0.361 0.722 0.750
Cu1 Cu 0.780 0.559 0.900
Cu2 Cu 0.220 0.441 0.400
Cu3 Cu 0.780 0.559 0.600
Cu4 Cu 0.220 0.441 0.100
Ge1 Ge 0.624 0.249 0.459
Ge2 Ge 0.376 0.751 0.959
Ge3 Ge 0.624 0.249 0.041
Ge4 Ge 0.376 0.751 0.541
Ge5 Ge 0.354 0.708 0.250
Ge6 Ge 0.646 0.292 0.750



Repeat the third record exactly.
# Mg2CrGaN4 GGA-PBE relaxed
# formation energy without anion corrections: -0.592 eV per atom
# magnetization: 1.00 μB/f.u.
# symmetry: No. 31
data_Mg2CrGaN4
_cell_length_a 5.219
_cell_length_b 5.739
_cell_length_c 6.444
_cell_angle_alpha 90.00
_cell_angle_beta 90.00
_cell_angle_gamma 90.00
_space_group_name_H-M_alt 'P 1'
_space_group_IT_number 1
loop_
_space_group_symop_operation_xyz
'x,y,z'
loop_
_atom_site_label
_atom_site_type_symbol
_atom_site_fract_x
_atom_site_fract_y
_atom_site_fract_z
Mg1 Mg 0.494 0.329 0.251
Mg2 Mg 0.494 0.329 0.749
Mg3 Mg 0.994 0.671 0.751
Mg4 Mg 0.994 0.671 0.249
Cr1 Cr 0.499 0.833 0.500
Cr2 Cr 0.999 0.167 0.000
Ga1 Ga 0.997 0.154 0.500
Ga2 Ga 0.497 0.846 0.000
N1 N 0.341 0.155 0.000
N2 N 0.841 0.845 0.500
N3 N 0.375 0.124 0.500
N4 N 0.875 0.876 0.000
N5 N 0.400 0.684 0.738
N6 N 0.900 0.316 0.238
N7 N 0.900 0.316 0.762
N8 N 0.400 0.684 0.262